Y2MgBe SCAN PBEsol geometry; energy above the most stable polymorph in this dataset = 1.71 eV per formula unit; M_tot = 1.84 μB/cell; space group = F-43m (216)
1.0
-3.8074 -3.2890 -0.5918
-1.4763 -2.8922 3.8885
-4.4599 0.8575 2.2446
Y Be Mg
2 1 1
Cartesian
0.0000 0.0000 0.0000 Y
-7.3077 -3.9928 4.1559 Y
-4.8718 -2.6619 2.7706 Be
-2.4359 -1.3309 1.3853 Mg



YMgBe2 SCAN PBEsol geometry; M_tot = 0.00 μB/cell; space group = P4/mmm (123)
1.0
3.3549 0.0000 0.0000
0.0000 4.5499 0.0000
0.0000 0.0000 4.5499
Y Be Mg
1 2 1
Cartesian
1.6775 0.0000 0.0000 Y
0.0000 0.0000 2.2749 Be
0.0000 2.2749 0.0000 Be
1.6775 2.2749 2.2749 Mg



Y2MgBe SCAN PBEsol geometry; energy above the most stable polymorph in this dataset = 0.00 eV per formula unit; M_tot = 0.11 μB/cell; space group = P4/mmm (123)
1.0
3.4298 0.0000 0.0000
0.0000 3.4298 0.0000
0.0000 0.0000 7.7706
Y Be Mg
2 1 1
Cartesian
0.0000 0.0000 6.1605 Y
0.0000 0.0000 1.6101 Y
1.7149 1.7149 0.0000 Be
1.7149 1.7149 3.8853 Mg



YMgBe SCAN PBEsol geometry; energy above the most stable polymorph in this dataset = 2.31 eV per formula unit; M_tot = 0.36 μB/cell; space group = F-43m (216)
1.0
-2.6353 2.4530 -3.0619
-4.5547 -1.1037 -0.6118
-3.3702 2.9101 1.5845
Y Be Mg
1 1 1
Cartesian
-2.6400 1.0648 -0.5223 Y
0.0000 0.0000 0.0000 Be
-5.2801 2.1297 -1.0446 Mg



YMgBe2 SCAN PBEsol geometry; M_tot = 0.00 μB/cell; space group = R3m (160)
1.0
-3.3236 1.1052 -1.5698
-3.2510 -0.2325 2.0270
-1.3460 5.6293 2.1206
Y Be Mg
1 2 1
Cartesian
-5.8759 5.2844 2.0838 Y
-6.4551 1.6273 0.7354 Be
-2.0703 1.0566 0.4347 Be
-4.0559 2.6474 1.0664 Mg



Y2MgBe SCAN PBEsol geometry; energy above the most stable polymorph in this dataset = 1.23 eV per formula unit; M_tot = 0.74 μB/cell; space group = R3m (160)
1.0
-0.1875 2.7740 2.1033
-1.5784 -0.2644 3.0972
7.4565 -1.5723 5.6278
Y Be Mg
2 1 1
Cartesian
-1.6573 2.4771 5.2530 Y
3.8318 0.8336 7.9100 Y
2.7248 0.5048 5.3558 Be
1.8708 0.1002 2.9240 Mg



YMgBe SCAN PBEsol geometry; energy above the most stable polymorph in this dataset = 1.56 eV per formula unit; M_tot = 0.02 μB/cell; space group = F-43m (216)
1.0
-0.3179 -0.7416 -4.5166
3.1460 -2.5727 -2.1294
-1.1205 -4.1638 -1.5678
Y Be Mg
1 1 1
Cartesian
0.0000 0.0000 0.0000 Y
0.8538 -3.7390 -4.1069 Be
0.4269 -1.8695 -2.0534 Mg



Mg2BeZn SCAN PBEsol geometry; M_tot = 0.00 μB/cell; space group = I-42d (122)
1.0
-3.3093 1.1869 1.9409
-0.2524 -3.5965 1.7689
6.9177 4.2393 5.0479
Be Zn Mg
2 2 4
Cartesian
0.9138 2.1107 4.4219 Be
-1.7809 -1.2048 1.8549 Be
2.4422 -0.2810 4.3359 Zn
0.0000 0.0000 0.0000 Zn
0.2437 -1.6335 3.5516 Mg
-1.2371 0.7411 3.6097 Mg
4.7413 2.8524 4.2624 Mg
2.9640 1.6994 6.0918 Mg



| no. | calculated volume (Å³ per cell) | VASP energy (Ry/atom) | formation enthalpy at 0 K (meV per atom) |
| --- | --- | --- | --- |
| 1 | 92 | -1.166 | 392 |
| 2 | 69 | -0.745 | 238 |
| 3 | 91 | -1.197 | -36 |
| 4 | 75 | -0.845 | 894 |
| 5 | 73 | -0.756 | 96 |
| 6 | 97 | -1.175 | 273 |
| 7 | 68 | -0.863 | 644 |
| 8 | 147 | -0.475 | 497 |